1.
{"formula": "GeSb3Br", "functional": "PBE", "state": "relaxed", "raw_formation_energy_mev_per_atom": 580, "cell": [[-3.1549, 1.0694, -4.2619], [-1.6749, -5.1432, -0.0507], [-4.0623, 1.2900, 3.3308]], "species": ["Sb", "Sb", "Sb", "Ge", "Br"], "frac_coords": [[0.0000, 0.5000, 0.0000], [0.0000, 0.0000, 0.5000], [0.5000, 0.0000, 0.0000], [0.0000, 0.0000, 0.0000], [0.5000, 0.5000, 0.5000]]}

=====

2.
{"formula": "VBiP3", "functional": "PBE", "state": "relaxed", "ef_ev_per_atom": 0.301, "cell": [[-3.3417, -3.1952, 0.2768], [3.1256, -3.3341, -0.7529], [0.7187, -0.3564, 4.5617]], "species": ["P", "P", "P", "Bi", "V"], "frac_coords": [[0.0000, 0.5000, 0.0000], [0.0000, 0.0000, 0.5000], [0.5000, 0.0000, 0.0000], [0.5000, 0.5000, 0.5000], [0.0000, 0.0000, 0.0000]]}

=====

3.
{"formula": "Na3Sn2Pb2", "functional": "PBE", "state": "relaxed", "ef_ev_per_atom": -0.143, "cell": [[5.5772, 0.5142, -1.2114], [-2.5709, 4.2219, -0.0229], [0.3781, 0.2206, 7.8462]], "species": ["Na", "Na", "Na", "Sn", "Sn", "Pb", "Pb"], "frac_coords": [[0.0000, 0.0000, 0.0000], [0.7226, 0.8616, 0.5688], [0.2774, 0.1384, 0.4312], [0.1474, 0.5757, 0.7155], [0.8526, 0.4243, 0.2845], [0.4312, 0.7141, 0.1455], [0.5688, 0.2859, 0.8545]]}

=====

The evaluated density of states at the Fermi level for the records listed, in turn: 4.04 4.63 2.20 states/eV/f.u..
The evaluated energy above the most stable polymorph in this dataset for the records listed, in turn: 0.0 0.0 0.0 meV/atom.